[1]
# Cd2Si2Sb

An optimized crystal structure of Cd2Si2Sb (GGA-PBE, Alexandria).

The structure in CIF format:
```
data_Cd2Si2Sb
_chemical_formula_sum 'Cd2 Si2 Sb1'
_cell_length_a 3.485
_cell_length_b 3.485
_cell_length_c 9.463
_cell_angle_alpha 79.39
_cell_angle_beta 79.39
_cell_angle_gamma 90.00
_symmetry_space_group_name_H-M 'P 1'
_symmetry_Int_Tables_number 1
loop_
_symmetry_equiv_pos_as_xyz
'x,y,z'
loop_
_atom_site_label
_atom_site_type_symbol
_atom_site_fract_x
_atom_site_fract_y
_atom_site_fract_z
Sb1 Sb 0.000 0.000 0.000
Si1 Si 0.750 0.250 0.500
Si2 Si 0.250 0.750 0.500
Cd1 Cd 0.385 0.385 0.230
Cd2 Cd 0.615 0.615 0.770
```

formation energy from raw total energies: 0.288 eV/atom
magnetic moment: 0.000 μB/atom
total DFT energy (no corrections): -3.072 eV/atom
V: 22.2 Å³ per atom



[2]
# CdSiSb2

An optimized crystal structure of CdSiSb2 (GGA-PBE, Alexandria).

The structure in CIF format:
```
data_CdSiSb2
_chemical_formula_sum 'Cd1 Si1 Sb2'
_cell_length_a 3.399
_cell_length_b 3.399
_cell_length_c 8.565
_cell_angle_alpha 90.00
_cell_angle_beta 90.00
_cell_angle_gamma 102.79
_symmetry_space_group_name_H-M 'P 1'
_symmetry_Int_Tables_number 1
loop_
_symmetry_equiv_pos_as_xyz
'x,y,z'
loop_
_atom_site_label
_atom_site_type_symbol
_atom_site_fract_x
_atom_site_fract_y
_atom_site_fract_z
Cd1 Cd 0.500 0.500 0.750
Sb1 Sb 0.000 0.000 0.028
Sb2 Sb 0.000 0.000 0.472
Si1 Si 0.500 0.500 0.250
```

formation energy from raw total energies: 0.341 eV/atom
magnetic moment: 0.000 μB/atom
total DFT energy (no corrections): -3.304 eV/atom
V: 24.1 Å³ per atom



[3]
# Cd2SiSb

An optimized crystal structure of Cd2SiSb (GGA-PBE, Alexandria).

The structure in CIF format:
```
data_Cd2SiSb
_chemical_formula_sum 'Cd2 Si1 Sb1'
_cell_length_a 3.103
_cell_length_b 3.103
_cell_length_c 10.159
_cell_angle_alpha 90.00
_cell_angle_beta 90.00
_cell_angle_gamma 109.84
_symmetry_space_group_name_H-M 'P 1'
_symmetry_Int_Tables_number 1
loop_
_symmetry_equiv_pos_as_xyz
'x,y,z'
loop_
_atom_site_label
_atom_site_type_symbol
_atom_site_fract_x
_atom_site_fract_y
_atom_site_fract_z
Cd1 Cd 0.000 0.000 0.984
Cd2 Cd 0.500 0.500 0.239
Sb1 Sb 0.000 0.000 0.526
Si1 Si 0.500 0.500 0.752
```

formation energy from raw total energies: 0.322 eV/atom
magnetic moment: 0.000 μB/atom
total DFT energy (no corrections): -2.522 eV/atom
V: 23.0 Å³ per atom



[4]
# Cd2SiSb

An optimized crystal structure of Cd2SiSb (GGA-PBE, Alexandria).

The structure in CIF format:
```
data_Cd2SiSb
_chemical_formula_sum 'Cd2 Si1 Sb1'
_cell_length_a 5.080
_cell_length_b 5.080
_cell_length_c 5.080
_cell_angle_alpha 60.00
_cell_angle_beta 60.00
_cell_angle_gamma 60.00
_symmetry_space_group_name_H-M 'P 1'
_symmetry_Int_Tables_number 1
loop_
_symmetry_equiv_pos_as_xyz
'x,y,z'
loop_
_atom_site_label
_atom_site_type_symbol
_atom_site_fract_x
_atom_site_fract_y
_atom_site_fract_z
Sb1 Sb 0.500 0.500 0.500
Si1 Si 0.000 0.000 0.000
Cd1 Cd 0.250 0.250 0.250
Cd2 Cd 0.750 0.750 0.750
```

formation energy from raw total energies: 0.413 eV/atom
magnetic moment: 0.000 μB/atom
total DFT energy (no corrections): -2.431 eV/atom
V: 23.2 Å³ per atom



[5]
# CdSi2Sb

An optimized crystal structure of CdSi2Sb (GGA-PBE, Alexandria).

The structure in CIF format:
```
data_CdSi2Sb
_chemical_formula_sum 'Cd1 Si2 Sb1'
_cell_length_a 3.054
_cell_length_b 3.054
_cell_length_c 9.068
_cell_angle_alpha 90.00
_cell_angle_beta 90.00
_cell_angle_gamma 99.20
_symmetry_space_group_name_H-M 'P 1'
_symmetry_Int_Tables_number 1
loop_
_symmetry_equiv_pos_as_xyz
'x,y,z'
loop_
_atom_site_label
_atom_site_type_symbol
_atom_site_fract_x
_atom_site_fract_y
_atom_site_fract_z
Cd1 Cd 0.500 0.500 0.250
Sb1 Sb 0.500 0.500 0.750
Si1 Si 0.000 0.000 0.014
Si2 Si 0.000 0.000 0.486
```

formation energy from raw total energies: 0.563 eV/atom
magnetic moment: 0.000 μB/atom
total DFT energy (no corrections): -3.408 eV/atom
V: 20.9 Å³ per atom



[6]
# Sr2CdSiSb

An optimized crystal structure of Sr2CdSiSb (GGA-PBE, Alexandria).

The structure in CIF format:
```
data_Sr2CdSiSb
_chemical_formula_sum 'Sr2 Cd1 Si1 Sb1'
_cell_length_a 5.962
_cell_length_b 5.281
_cell_length_c 5.962
_cell_angle_alpha 90.00
_cell_angle_beta 90.00
_cell_angle_gamma 90.00
_symmetry_space_group_name_H-M 'P 1'
_symmetry_Int_Tables_number 1
loop_
_symmetry_equiv_pos_as_xyz
'x,y,z'
loop_
_atom_site_label
_atom_site_type_symbol
_atom_site_fract_x
_atom_site_fract_y
_atom_site_fract_z
Sb1 Sb 0.000 0.500 0.000
Si1 Si 0.000 0.000 0.000
Sr1 Sr 0.000 0.000 0.500
Sr2 Sr 0.500 0.000 0.000
Cd1 Cd 0.500 0.500 0.500
```

formation energy from raw total energies: -0.091 eV/atom
magnetic moment: 0.000 μB/atom
total DFT energy (no corrections): -2.856 eV/atom
V: 37.5 Å³ per atom



[7]
# Cd2SiSbTe

An optimized crystal structure of Cd2SiSbTe (GGA-PBE, Alexandria).

The structure in CIF format:
```
data_Cd2SiSbTe
_chemical_formula_sum 'Cd2 Si1 Sb1 Te1'
_cell_length_a 5.035
_cell_length_b 5.546
_cell_length_c 5.035
_cell_angle_alpha 90.00
_cell_angle_beta 90.00
_cell_angle_gamma 90.00
_symmetry_space_group_name_H-M 'P 1'
_symmetry_Int_Tables_number 1
loop_
_symmetry_equiv_pos_as_xyz
'x,y,z'
loop_
_atom_site_label
_atom_site_type_symbol
_atom_site_fract_x
_atom_site_fract_y
_atom_site_fract_z
Sb1 Sb 0.000 0.500 0.000
Si1 Si 0.000 0.000 0.000
Te1 Te 0.500 0.500 0.500
Cd1 Cd 0.000 0.000 0.500
Cd2 Cd 0.500 0.000 0.000
```

formation energy from raw total energies: 0.277 eV/atom
magnetic moment: 0.000 μB/atom
total DFT energy (no corrections): -2.627 eV/atom
V: 28.1 Å³ per atom



[8]
# VCdSiSb2

An optimized crystal structure of VCdSiSb2 (GGA-PBE, Alexandria).

The structure in CIF format:
```
data_VCdSiSb2
_chemical_formula_sum 'V1 Cd1 Si1 Sb2'
_cell_length_a 5.390
_cell_length_b 5.063
_cell_length_c 5.390
_cell_angle_alpha 90.00
_cell_angle_beta 90.00
_cell_angle_gamma 90.00
_symmetry_space_group_name_H-M 'P 1'
_symmetry_Int_Tables_number 1
loop_
_symmetry_equiv_pos_as_xyz
'x,y,z'
loop_
_atom_site_label
_atom_site_type_symbol
_atom_site_fract_x
_atom_site_fract_y
_atom_site_fract_z
Sb1 Sb 0.000 0.000 0.500
Sb2 Sb 0.500 0.000 0.000
Si1 Si 0.500 0.500 0.500
V1 V 0.000 0.500 0.000
Cd1 Cd 0.000 0.000 0.000
```

formation energy from raw total energies: 1.551 eV/atom
magnetic moment: 0.019 μB/atom
total DFT energy (no corrections): -3.190 eV/atom
V: 29.4 Å³ per atom



[9]
# V2CdSiSb

An optimized crystal structure of V2CdSiSb (GGA-PBE, Alexandria).

The structure in CIF format:
```
data_V2CdSiSb
_chemical_formula_sum 'V2 Cd1 Si1 Sb1'
_cell_length_a 5.084
_cell_length_b 5.268
_cell_length_c 5.084
_cell_angle_alpha 90.00
_cell_angle_beta 90.00
_cell_angle_gamma 90.00
_symmetry_space_group_name_H-M 'P 1'
_symmetry_Int_Tables_number 1
loop_
_symmetry_equiv_pos_as_xyz
'x,y,z'
loop_
_atom_site_label
_atom_site_type_symbol
_atom_site_fract_x
_atom_site_fract_y
_atom_site_fract_z
Sb1 Sb 0.000 0.500 0.000
Si1 Si 0.500 0.500 0.500
V1 V 0.000 0.000 0.500
V2 V 0.500 0.000 0.000
Cd1 Cd 0.000 0.000 0.000
```

formation energy from raw total energies: 1.659 eV/atom
magnetic moment: 1.325 μB/atom
total DFT energy (no corrections): -4.081 eV/atom
V: 27.2 Å³ per atom



[10]
# Sm2Cd16Sb

An optimized crystal structure of Sm2Cd16Sb (GGA-PBE, Alexandria).

The structure in CIF format:
```
data_Sm2Cd16Sb
_chemical_formula_sum 'Sm2 Cd16 Sb1'
_cell_length_a 7.686
_cell_length_b 7.686
_cell_length_c 7.686
_cell_angle_alpha 84.14
_cell_angle_beta 84.14
_cell_angle_gamma 84.14
_symmetry_space_group_name_H-M 'P 1'
_symmetry_Int_Tables_number 1
loop_
_symmetry_equiv_pos_as_xyz
'x,y,z'
loop_
_atom_site_label
_atom_site_type_symbol
_atom_site_fract_x
_atom_site_fract_y
_atom_site_fract_z
Sm1 Sm 0.671 0.671 0.671
Sm2 Sm 0.335 0.335 0.335
Cd1 Cd 0.685 0.997 0.320
Cd2 Cd 0.997 0.320 0.685
Cd3 Cd 0.320 0.685 0.997
Cd4 Cd 0.997 0.685 0.320
Cd5 Cd 0.685 0.320 0.997
Cd6 Cd 0.320 0.997 0.685
Cd7 Cd 0.360 0.804 0.360
Cd8 Cd 0.804 0.360 0.360
Cd9 Cd 0.360 0.360 0.804
Cd10 Cd 0.656 0.152 0.656
Cd11 Cd 0.152 0.656 0.656
Cd12 Cd 0.656 0.656 0.152
Cd13 Cd 0.022 0.472 0.022
Cd14 Cd 0.472 0.022 0.022
Cd15 Cd 0.022 0.022 0.472
Cd16 Cd 0.095 0.095 0.095
Sb1 Sb 0.890 0.890 0.890
```

formation energy from raw total energies: -0.129 eV/atom
magnetic moment: 0.000 μB/atom
total DFT energy (no corrections): -1.614 eV/atom
V: 23.5 Å³ per atom



[11]
# Sm2CdSb3

An optimized crystal structure of Sm2CdSb3 (GGA-PBE, Alexandria).

The structure in CIF format:
```
data_Sm2CdSb3
_chemical_formula_sum 'Sm2 Cd1 Sb3'
_cell_length_a 9.523
_cell_length_b 9.523
_cell_length_c 16.850
_cell_angle_alpha 90.00
_cell_angle_beta 90.00
_cell_angle_gamma 90.00
_symmetry_space_group_name_H-M 'P 1'
_symmetry_Int_Tables_number 1
loop_
_symmetry_equiv_pos_as_xyz
'x,y,z'
loop_
_atom_site_label
_atom_site_type_symbol
_atom_site_fract_x
_atom_site_fract_y
_atom_site_fract_z
Sm1 Sm 0.500 0.500 0.174
Sm2 Sm 0.500 0.500 0.826
Cd1 Cd 0.500 0.500 0.500
Sb1 Sb 0.500 0.500 0.660
Sb2 Sb 0.500 0.500 0.340
Sb3 Sb 0.500 0.500 0.000
```

formation energy from raw total energies: 1.022 eV/atom
magnetic moment: 0.173 μB/atom
total DFT energy (no corrections): -2.764 eV/atom
V: 254.7 Å³ per atom



[12]
# Sm5Cd2Sb

An optimized crystal structure of Sm5Cd2Sb (GGA-PBE, Alexandria).

The structure in CIF format:
```
data_Sm5Cd2Sb
_chemical_formula_sum 'Sm10 Cd4 Sb2'
_cell_length_a 8.570
_cell_length_b 8.570
_cell_length_c 8.860
_cell_angle_alpha 118.92
_cell_angle_beta 118.92
_cell_angle_gamma 90.00
_symmetry_space_group_name_H-M 'P 1'
_symmetry_Int_Tables_number 1
loop_
_symmetry_equiv_pos_as_xyz
'x,y,z'
loop_
_atom_site_label
_atom_site_type_symbol
_atom_site_fract_x
_atom_site_fract_y
_atom_site_fract_z
Sm1 Sm 0.505 0.693 0.698
Sm2 Sm 0.807 0.995 0.302
Sm3 Sm 0.000 0.000 0.000
Sm4 Sm 0.500 0.500 0.000
Sm5 Sm 0.193 0.005 0.698
Sm6 Sm 0.693 0.193 0.698
Sm7 Sm 0.005 0.505 0.698
Sm8 Sm 0.307 0.807 0.302
Sm9 Sm 0.995 0.495 0.302
Sm10 Sm 0.495 0.307 0.302
Cd1 Cd 0.137 0.363 0.000
Cd2 Cd 0.637 0.137 0.000
Cd3 Cd 0.363 0.863 0.000
Cd4 Cd 0.863 0.637 0.000
Sb1 Sb 0.750 0.750 0.500
Sb2 Sb 0.250 0.250 0.500
```

formation energy from raw total energies: -0.423 eV/atom
magnetic moment: 0.000 μB/atom
total DFT energy (no corrections): -4.116 eV/atom
V: 29.7 Å³ per atom



[13]
# SmCdSb2

An optimized crystal structure of SmCdSb2 (GGA-PBE, Alexandria).

The structure in CIF format:
```
data_SmCdSb2
_chemical_formula_sum 'Sm2 Cd2 Sb4'
_cell_length_a 4.406
_cell_length_b 4.406
_cell_length_c 11.072
_cell_angle_alpha 90.00
_cell_angle_beta 90.00
_cell_angle_gamma 90.00
_symmetry_space_group_name_H-M 'P 1'
_symmetry_Int_Tables_number 1
loop_
_symmetry_equiv_pos_as_xyz
'x,y,z'
loop_
_atom_site_label
_atom_site_type_symbol
_atom_site_fract_x
_atom_site_fract_y
_atom_site_fract_z
Sm1 Sm 0.000 0.500 0.279
Sm2 Sm 0.500 0.000 0.721
Cd1 Cd 0.500 0.500 0.000
Cd2 Cd 0.000 0.000 0.000
Sb1 Sb 0.500 0.000 0.204
Sb2 Sb 0.000 0.500 0.796
Sb3 Sb 0.000 0.000 0.500
Sb4 Sb 0.500 0.500 0.500
```

formation energy from raw total energies: -0.567 eV/atom
magnetic moment: 0.000 μB/atom
total DFT energy (no corrections): -4.037 eV/atom
V: 26.9 Å³ per atom